Computed, not measured: a relaxed CsCaSn3 crystal at the PBE level of DFT.

Cell and atoms, written as CIF:
```
data_CsCaSn3
_cell_length_a 5.975
_cell_length_b 5.975
_cell_length_c 5.975
_cell_angle_alpha 90.00
_cell_angle_beta 90.00
_cell_angle_gamma 90.00
_space_group_name_H-M_alt 'P 1'
_space_group_IT_number 1
loop_
_space_group_symop_operation_xyz
'x,y,z'
loop_
_atom_site_label
_atom_site_type_symbol
_atom_site_fract_x
_atom_site_fract_y
_atom_site_fract_z
Cs1 Cs 0.000 0.000 0.000
Ca1 Ca 0.500 0.500 0.500
Sn1 Sn 0.000 0.500 0.500
Sn2 Sn 0.500 0.000 0.500
Sn3 Sn 0.500 0.500 0.000
```

Summary:
Relative energy among the computed polymorphs   0.0 meV per atom
SG   Pm-3m (221)
Uncorrected energy   -2.75 eV per atom